Computed, not measured: a relaxed HoScTc crystal at the PBE level of DFT.

Cell lengths 3.385, 3.385, 11.634 Å; angles 90.00, 90.00, 90.00 degrees
Space group I4mm (No. 107)
Asymmetric unit:
Ho 0.000 0.000 0.000
Sc 0.000 0.000 0.267
Tc 0.000 0.000 0.646

Output
Energy above the lowest structure with this stoichiometry ... 0.000 eV/atom
N(E_F) ... 6.516 states/eV per cell


Computed, not measured: a relaxed ScMnInNi crystal at the PBE level of DFT.

Cell lengths 6.444, 6.444, 6.444 Å; angles 90.00, 90.00, 90.00 degrees
Space group F-43m (No. 216)
Asymmetric unit:
Sc 0.000 0.000 0.000
Mn 0.250 0.250 0.250
In 0.000 0.000 0.500
Ni 0.250 0.250 0.750

Output
N(E_F) ... 19.656 states/eV per cell
Energy ... -98.5 eV for the cell shown